1.
{
  "formula": "TcPtSCl2",
  "functional": "PBE-GGA",
  "state": "optimized geometry",
  "lattice_angstrom": [[4.829, 0.000, 0.000], [0.000, 4.829, 0.000], [0.000, 0.000, 4.476]],
  "species": ["Tc", "Pt", "S", "Cl", "Cl"],
  "frac_coords": [[0.000, 0.000, 0.000], [0.500, 0.500, 0.500], [0.000, 0.000, 0.500], [0.000, 0.500, 0.000], [0.500, 0.000, 0.000]],
  "sg": "P4/mmm (123)",
  "dos_ef_per_ev_cell": 8.1
}

2.
{
  "formula": "TcPtSCl2",
  "functional": "PBE-GGA",
  "state": "optimized geometry",
  "lattice_angstrom": [[4.820, 0.000, 0.000], [0.000, 4.820, 0.000], [0.000, 0.000, 4.836]],
  "species": ["Tc", "Pt", "S", "Cl", "Cl"],
  "frac_coords": [[0.000, 0.000, 0.000], [0.500, 0.500, 0.500], [0.500, 0.500, 0.000], [0.000, 0.500, 0.500], [0.500, 0.000, 0.500]],
  "sg": "P4/mmm (123)",
  "dos_ef_per_ev_cell": 1.3
}

It is 1 that is most stable; the runner-up trails by 47 meV/atom.

1.
{
  "formula": "VPtSCl2",
  "functional": "PBE-GGA",
  "state": "optimized geometry",
  "lattice_angstrom": [[4.461, 0.000, 0.000], [0.000, 4.461, 0.000], [0.000, 0.000, 4.874]],
  "species": ["V", "Pt", "S", "Cl", "Cl"],
  "frac_coords": [[0.000, 0.000, 0.000], [0.500, 0.500, 0.500], [0.000, 0.000, 0.500], [0.000, 0.500, 0.000], [0.500, 0.000, 0.000]],
  "sg": "P4/mmm (123)",
  "dos_ef_per_ev_cell": 6.1
}

2.
{
  "formula": "VPtSCl2",
  "functional": "PBE-GGA",
  "state": "optimized geometry",
  "lattice_angstrom": [[4.798, 0.000, 0.000], [0.000, 4.798, 0.000], [0.000, 0.000, 4.858]],
  "species": ["V", "Pt", "S", "Cl", "Cl"],
  "frac_coords": [[0.000, 0.000, 0.000], [0.500, 0.500, 0.500], [0.500, 0.500, 0.000], [0.000, 0.500, 0.500], [0.500, 0.000, 0.500]],
  "sg": "P4/mmm (123)",
  "dos_ef_per_ev_cell": 2.4
}

It is 1 that is most stable; the runner-up trails by 120 meV/atom.

1.
{
  "formula": "VPt2SCl",
  "functional": "PBE-GGA",
  "state": "optimized geometry",
  "lattice_angstrom": [[4.575, 0.000, 0.000], [0.000, 4.575, 0.000], [0.000, 0.000, 4.551]],
  "species": ["V", "Pt", "Pt", "S", "Cl"],
  "frac_coords": [[0.000, 0.000, 0.000], [0.000, 0.500, 0.500], [0.500, 0.000, 0.500], [0.500, 0.500, 0.000], [0.000, 0.000, 0.500]],
  "sg": "P4/mmm (123)",
  "dos_ef_per_ev_cell": 8.4
}

2.
{
  "formula": "VPt2SCl",
  "functional": "PBE-GGA",
  "state": "optimized geometry",
  "lattice_angstrom": [[4.496, 0.000, 0.000], [0.000, 4.496, 0.000], [0.000, 0.000, 4.752]],
  "species": ["V", "Pt", "Pt", "S", "Cl"],
  "frac_coords": [[0.000, 0.000, 0.000], [0.000, 0.500, 0.500], [0.500, 0.000, 0.500], [0.500, 0.500, 0.000], [0.500, 0.500, 0.500]],
  "sg": "P4/mmm (123)",
  "dos_ef_per_ev_cell": 6.0
}

It is 1 that is most stable; the runner-up trails by 339 meV/atom.

1.
{
  "formula": "PtWS2Cl",
  "functional": "PBE-GGA",
  "state": "optimized geometry",
  "lattice_angstrom": [[4.738, 0.000, 0.000], [0.000, 4.738, 0.000], [0.000, 0.000, 4.668]],
  "species": ["Pt", "W", "S", "S", "Cl"],
  "frac_coords": [[0.000, 0.000, 0.000], [0.500, 0.500, 0.500], [0.000, 0.500, 0.000], [0.500, 0.000, 0.000], [0.000, 0.000, 0.500]],
  "sg": "P4/mmm (123)",
  "dos_ef_per_ev_cell": 4.5
}

2.
{
  "formula": "PtWS2Cl",
  "functional": "PBE-GGA",
  "state": "optimized geometry",
  "lattice_angstrom": [[4.686, 0.000, 0.000], [0.000, 4.686, 0.000], [0.000, 0.000, 4.633]],
  "species": ["Pt", "W", "S", "S", "Cl"],
  "frac_coords": [[0.000, 0.000, 0.000], [0.500, 0.500, 0.500], [0.000, 0.500, 0.500], [0.500, 0.000, 0.500], [0.500, 0.500, 0.000]],
  "sg": "P4/mmm (123)",
  "dos_ef_per_ev_cell": 5.5
}

It is 2 that is most stable; the runner-up trails by 544 meV/atom.

1.
{
  "formula": "ZnPtS2Cl",
  "functional": "PBE-GGA",
  "state": "optimized geometry",
  "lattice_angstrom": [[4.725, 0.000, 0.000], [0.000, 4.725, 0.000], [0.000, 0.000, 4.896]],
  "species": ["Zn", "Pt", "S", "S", "Cl"],
  "frac_coords": [[0.000, 0.000, 0.000], [0.500, 0.500, 0.500], [0.000, 0.500, 0.500], [0.500, 0.000, 0.500], [0.500, 0.500, 0.000]],
  "sg": "P4/mmm (123)",
  "dos_ef_per_ev_cell": 5.7
}

2.
{
  "formula": "ZnPtS2Cl",
  "functional": "PBE-GGA",
  "state": "optimized geometry",
  "lattice_angstrom": [[4.732, 0.000, 0.000], [0.000, 4.732, 0.000], [0.000, 0.000, 4.498]],
  "species": ["Zn", "Pt", "S", "S", "Cl"],
  "frac_coords": [[0.000, 0.000, 0.000], [0.500, 0.500, 0.500], [0.000, 0.500, 0.000], [0.500, 0.000, 0.000], [0.000, 0.000, 0.500]],
  "sg": "P4/mmm (123)",
  "dos_ef_per_ev_cell": 7.4
}

It is 1 that is most stable; the runner-up trails by 428 meV/atom.

1.
{
  "formula": "ZrPtS2Cl",
  "functional": "PBE-GGA",
  "state": "optimized geometry",
  "lattice_angstrom": [[4.995, 0.000, 0.000], [0.000, 4.995, 0.000], [0.000, 0.000, 4.885]],
  "species": ["Zr", "Pt", "S", "S", "Cl"],
  "frac_coords": [[0.000, 0.000, 0.000], [0.500, 0.500, 0.500], [0.000, 0.500, 0.000], [0.500, 0.000, 0.000], [0.000, 0.000, 0.500]],
  "sg": "P4/mmm (123)",
  "dos_ef_per_ev_cell": 5.2
}

2.
{
  "formula": "ZrPtS2Cl",
  "functional": "PBE-GGA",
  "state": "optimized geometry",
  "lattice_angstrom": [[4.729, 0.000, 0.000], [0.000, 4.729, 0.000], [0.000, 0.000, 4.666]],
  "species": ["Zr", "Pt", "S", "S", "Cl"],
  "frac_coords": [[0.000, 0.000, 0.000], [0.500, 0.500, 0.500], [0.000, 0.500, 0.500], [0.500, 0.000, 0.500], [0.500, 0.500, 0.000]],
  "sg": "P4/mmm (123)",
  "dos_ef_per_ev_cell": 6.0
}

It is 1 that is most stable; the runner-up trails by 185 meV/atom.

1.
{
  "formula": "SbPtCl2",
  "functional": "PBE-GGA",
  "state": "optimized geometry",
  "lattice_angstrom": [[4.353, 0.000, 0.000], [0.000, 4.353, 0.000], [0.000, 0.000, 8.668]],
  "species": ["Sb", "Sb", "Pt", "Pt", "Cl", "Cl", "Cl", "Cl"],
  "frac_coords": [[0.000, 0.000, 0.000], [0.500, 0.500, 0.500], [0.000, 0.000, 0.500], [0.500, 0.500, 0.000], [0.000, 0.500, 0.250], [0.000, 0.500, 0.750], [0.500, 0.000, 0.250], [0.500, 0.000, 0.750]],
  "sg": "I4/mmm (139)",
  "dos_ef_per_ev_cell": 4.1
}

2.
{
  "formula": "SbPtCl2",
  "functional": "PBE-GGA",
  "state": "optimized geometry",
  "lattice_angstrom": [[3.081, 0.000, 0.000], [0.000, 4.348, 0.000], [0.000, 0.000, 6.114]],
  "species": ["Sb", "Pt", "Cl", "Cl"],
  "frac_coords": [[0.000, 0.000, 0.000], [0.000, 0.000, 0.500], [0.500, 0.500, 0.256], [0.500, 0.500, 0.744]],
  "sg": "Pmmm (47)",
  "dos_ef_per_ev_cell": 2.4
}

It is 1 that is most stable; the runner-up trails by 52 meV/atom.

1.
{
  "formula": "SbPtCl2",
  "functional": "PBE-GGA",
  "state": "optimized geometry",
  "lattice_angstrom": [[10.129, 0.000, 0.000], [0.000, 10.129, 0.000], [0.000, 0.000, 5.061]],
  "species": ["Sb", "Sb", "Sb", "Sb", "Pt", "Pt", "Pt", "Pt", "Cl", "Cl", "Cl", "Cl", "Cl", "Cl", "Cl", "Cl"],
  "frac_coords": [[0.000, 0.000, 0.000], [0.000, 0.500, 0.250], [0.500, 0.000, 0.750], [0.500, 0.500, 0.500], [0.000, 0.000, 0.500], [0.000, 0.500, 0.750], [0.500, 0.000, 0.250], [0.500, 0.500, 0.000], [0.001, 0.250, 0.625], [0.250, 0.501, 0.875], [0.250, 0.999, 0.375], [0.499, 0.250, 0.125], [0.501, 0.750, 0.125], [0.750, 0.001, 0.375], [0.750, 0.499, 0.875], [0.999, 0.750, 0.625]],
  "sg": "I-42d (122)",
  "dos_ef_per_ev_cell": 6.2
}

2.
{
  "formula": "SbPtCl2",
  "functional": "PBE-GGA",
  "state": "optimized geometry",
  "lattice_angstrom": [[5.909, 0.000, 0.000], [0.000, 6.726, 0.000], [0.000, 0.000, 4.265]],
  "species": ["Sb", "Sb", "Pt", "Pt", "Cl", "Cl", "Cl", "Cl"],
  "frac_coords": [[0.000, 0.000, 0.000], [0.500, 0.500, 0.000], [0.000, 0.500, 0.000], [0.500, 0.000, 0.000], [0.000, 0.272, 0.500], [0.000, 0.728, 0.500], [0.500, 0.228, 0.500], [0.500, 0.772, 0.500]],
  "sg": "Cmmm (65)",
  "dos_ef_per_ev_cell": 4.2
}

It is 2 that is most stable; the runner-up trails by 7 meV/atom.

1.
{
  "formula": "SbPtCl2",
  "functional": "PBE-GGA",
  "state": "optimized geometry",
  "lattice_angstrom": [[3.279, 0.000, 0.000], [0.000, 5.455, 0.000], [0.000, 0.000, 9.618]],
  "species": ["Sb", "Sb", "Pt", "Pt", "Cl", "Cl", "Cl", "Cl"],
  "frac_coords": [[0.000, 0.000, 0.000], [0.500, 0.500, 0.500], [0.000, 0.000, 0.500], [0.500, 0.500, 0.000], [0.000, 0.500, 0.195], [0.000, 0.500, 0.805], [0.500, 0.000, 0.305], [0.500, 0.000, 0.695]],
  "sg": "Immm (71)",
  "dos_ef_per_ev_cell": 5.6
}

2.
{
  "formula": "SbPtCl2",
  "functional": "PBE-GGA",
  "state": "optimized geometry",
  "lattice_angstrom": [[3.306, 0.000, 0.000], [-1.653, 2.863, 0.000], [0.000, 0.000, 27.468]],
  "species": ["Sb", "Sb", "Sb", "Pt", "Pt", "Pt", "Cl", "Cl", "Cl", "Cl", "Cl", "Cl"],
  "frac_coords": [[0.000, 0.000, 0.000], [0.333, 0.667, 0.667], [0.667, 0.333, 0.333], [0.000, 0.000, 0.500], [0.333, 0.667, 0.167], [0.667, 0.333, 0.833], [0.000, 0.000, 0.417], [0.000, 0.000, 0.583], [0.333, 0.667, 0.084], [0.333, 0.667, 0.250], [0.667, 0.333, 0.750], [0.667, 0.333, 0.916]],
  "sg": "R-3m (166)",
  "dos_ef_per_ev_cell": 6.1
}

It is 2 that is most stable; the runner-up trails by 73 meV/atom.

1.
{
  "formula": "SbPtCl",
  "functional": "PBE-GGA",
  "state": "optimized geometry",
  "lattice_angstrom": [[3.340, 0.000, 0.000], [0.000, 3.340, 0.000], [0.000, 0.000, 11.887]],
  "species": ["Sb", "Sb", "Pt", "Pt", "Cl", "Cl"],
  "frac_coords": [[0.000, 0.000, 0.000], [0.500, 0.500, 0.500], [0.000, 0.000, 0.379], [0.500, 0.500, 0.879], [0.000, 0.000, 0.729], [0.500, 0.500, 0.229]],
  "sg": "I4mm (107)",
  "dos_ef_per_ev_cell": 0.8
}

2.
{
  "formula": "SbPtCl",
  "functional": "PBE-GGA",
  "state": "optimized geometry",
  "lattice_angstrom": [[3.858, 0.000, 0.000], [0.000, 5.249, 0.000], [-0.587, 0.000, 7.500]],
  "species": ["Sb", "Sb", "Pt", "Pt", "Cl", "Cl"],
  "frac_coords": [[0.118, 0.250, 0.341], [0.882, 0.750, 0.659], [0.345, 0.750, 0.419], [0.655, 0.250, 0.581], [0.229, 0.250, 0.828], [0.771, 0.750, 0.172]],
  "sg": "P2_1/m (11)",
  "dos_ef_per_ev_cell": 0.6
}

It is 2 that is most stable; the runner-up trails by 288 meV/atom.

1.
{
  "formula": "SbPtCl",
  "functional": "PBE-GGA",
  "state": "optimized geometry",
  "lattice_angstrom": [[6.527, 0.000, 0.000], [0.000, 6.527, 0.000], [0.000, 0.000, 6.527]],
  "species": ["Sb", "Sb", "Sb", "Sb", "Pt", "Pt", "Pt", "Pt", "Cl", "Cl", "Cl", "Cl"],
  "frac_coords": [[0.000, 0.000, 0.000], [0.000, 0.500, 0.500], [0.500, 0.000, 0.500], [0.500, 0.500, 0.000], [0.250, 0.250, 0.250], [0.250, 0.750, 0.750], [0.750, 0.250, 0.750], [0.750, 0.750, 0.250], [0.000, 0.000, 0.500], [0.000, 0.500, 0.000], [0.500, 0.000, 0.000], [0.500, 0.500, 0.500]],
  "sg": "F-43m (216)",
  "dos_ef_per_ev_cell": 4.0
}

2.
{
  "formula": "SbPtCl",
  "functional": "PBE-GGA",
  "state": "optimized geometry",
  "lattice_angstrom": [[4.140, 0.000, 0.000], [0.000, 5.372, 0.000], [0.000, 0.000, 12.315]],
  "species": ["Sb", "Sb", "Sb", "Sb", "Pt", "Pt", "Pt", "Pt", "Cl", "Cl", "Cl", "Cl"],
  "frac_coords": [[0.000, 0.000, 0.000], [0.000, 0.500, 0.500], [0.500, 0.000, 0.500], [0.500, 0.500, 0.000], [0.000, 0.000, 0.628], [0.000, 0.500, 0.128], [0.500, 0.000, 0.128], [0.500, 0.500, 0.628], [0.000, 0.000, 0.267], [0.000, 0.500, 0.767], [0.500, 0.000, 0.767], [0.500, 0.500, 0.267]],
  "sg": "Fmm2 (42)",
  "dos_ef_per_ev_cell": 2.2
}

It is 2 that is most stable; the runner-up trails by 137 meV/atom.

1.
{
  "formula": "SbPtCl",
  "functional": "PBE-GGA",
  "state": "optimized geometry",
  "lattice_angstrom": [[3.759, 0.000, 0.000], [-1.880, 3.255, 0.000], [0.000, 0.000, 6.505]],
  "species": ["Sb", "Pt", "Cl"],
  "frac_coords": [[0.000, 0.000, 0.000], [0.333, 0.667, 0.772], [0.667, 0.333, 0.537]],
  "sg": "P3m1 (156)"
}

2.
{
  "formula": "SbPtCl",
  "functional": "PBE-GGA",
  "state": "optimized geometry",
  "lattice_angstrom": [[6.617, 0.000, 0.000], [0.000, 6.617, 0.000], [0.000, 0.000, 6.617]],
  "species": ["Sb", "Sb", "Sb", "Sb", "Pt", "Pt", "Pt", "Pt", "Cl", "Cl", "Cl", "Cl"],
  "frac_coords": [[0.000, 0.000, 0.000], [0.000, 0.500, 0.500], [0.500, 0.000, 0.500], [0.500, 0.500, 0.000], [0.250, 0.250, 0.250], [0.250, 0.750, 0.750], [0.750, 0.250, 0.750], [0.750, 0.750, 0.250], [0.250, 0.250, 0.750], [0.250, 0.750, 0.250], [0.750, 0.250, 0.250], [0.750, 0.750, 0.750]],
  "sg": "F-43m (216)",
  "dos_ef_per_ev_cell": 3.8
}

3.
{
  "formula": "SbPtCl",
  "functional": "PBE-GGA",
  "state": "optimized geometry",
  "lattice_angstrom": [[3.992, 0.000, 0.000], [-0.097, 6.323, 0.000], [-1.222, -1.371, 6.082]],
  "species": ["Sb", "Sb", "Pt", "Pt", "Cl", "Cl"],
  "frac_coords": [[0.183, 0.052, 0.267], [0.817, 0.948, 0.733], [0.368, 0.790, 0.922], [0.632, 0.210, 0.078], [0.240, 0.421, 0.750], [0.760, 0.579, 0.250]],
  "sg": "P-1 (2)",
  "dos_ef_per_ev_cell": 2.4
}

It is 1 that is most stable; the runner-up trails by 109 meV/atom.